VASP calculation (PBE with a Hubbard U) on crystalline Li2Ca2MoO6 at its relaxed geometry.

electronic total energy: -6.31 eV per atom

Geometry as extended XYZ:
```
11
Lattice="-5.090 -2.371 -1.216 4.810 -3.035 -0.813 -0.253 -0.617 5.186" Properties=species:S:1:pos:R:3 pbc="T T T"
O -1.661 -1.334 3.272
O -1.731 -4.497 -0.231
O -0.132 -1.378 0.963
O 1.198 -1.526 3.388
O 1.129 -4.689 -0.115
O -0.401 -4.645 2.194
Li -3.839 -2.455 -1.165
Li 3.559 -2.951 -0.863
Ca -1.887 -2.903 1.513
Ca 1.354 -3.120 1.645
Mo -0.126 -0.308 2.593
```